A plane-wave DFT calculation with PBE-GGA was carried out for DyBiIr after structural relaxation.

Calculated values
As for the formation energy: -5.8 kcal/mol of atoms. As for the final energy: -18.10 eV per cell. The magnetic moment is 0.00 μB per formula unit.

a b c (Å): 3.825 3.825 5.591
angles (deg): 110.00 110.00 90.00
Atoms (fractional coordinates):
1 Dy 0.924 0.924 0.848
2 Bi 0.613 0.613 0.225
3 Ir 0.313 0.313 0.627